# 1
Entry from Alexandria via LeMat-Bulk: crystalline KAlRuO2 at its relaxed geometry (PBE).

```
KAlRuO2
1.0
3.882 0.000 0.000
0.000 3.882 0.000
0.000 0.000 4.917
K Al Ru O
1 1 1 2
direct
0.000 0.000 0.000
0.500 0.500 0.500
0.500 0.500 0.000
0.000 0.500 0.500
0.500 0.000 0.500
```

Summary:
Space-group type: No. 123

=====

# 2
Entry from Alexandria via LeMat-Bulk: crystalline KAl3S2O14 at its relaxed geometry (PBE).

```
KAl3S2O14
1.0
3.488 2.014 6.604
-3.488 2.014 6.604
0.000 -4.027 6.604
K Al S O
1 3 2 14
direct
0.000 0.000 0.000
0.000 0.000 0.500
0.000 0.500 0.000
0.500 0.000 0.000
0.291 0.291 0.291
0.709 0.709 0.709
0.086 0.743 0.743
0.146 0.146 0.495
0.146 0.495 0.146
0.257 0.257 0.914
0.257 0.914 0.257
0.363 0.363 0.363
0.495 0.146 0.146
0.505 0.854 0.854
0.637 0.637 0.637
0.743 0.086 0.743
0.743 0.743 0.086
0.854 0.505 0.854
0.854 0.854 0.505
0.914 0.257 0.257
```

Summary:
Space-group type: No. 166

=====

no.,formation energy without anion corrections (eV per atom)
1,-0.151
2,-1.516